(1)
{"formula": "CaNdHo", "functional": "PBE-GGA", "state": "relaxed", "space_group": "P-1", "energy_ev_per_atom": -3.730, "formation_enthalpy_0k_ev_per_atom": 0.05, "dos_at_fermi_per_ev_cell": 7.91, "cell": [[3.696, 0.000, 0.000], [0.005, 6.362, 0.000], [0.009, 2.150, 9.055]], "species": ["Ca", "Ca", "Nd", "Nd", "Ho", "Ho"], "fractional_positions": [[0.250, 0.247, 0.004], [0.750, 0.753, 0.996], [0.250, 0.470, 0.345], [0.750, 0.530, 0.655], [0.250, 0.032, 0.651], [0.750, 0.968, 0.349]]}

=====

(2)
{"formula": "ScSnN3", "functional": "PBE-GGA", "state": "relaxed", "formation_energy_uncorrected_ev_per_fu": 3.80, "space_group": "Pm-3m", "energy_ev_per_atom": -6.302, "dos_at_fermi_per_ev_cell": 3.58, "cell": [[4.046, 0.000, 0.000], [0.000, 4.046, 0.000], [0.000, 0.000, 4.046]], "species": ["Sc", "Sn", "N", "N", "N"], "fractional_positions": [[0.000, 0.000, 0.000], [0.500, 0.500, 0.500], [0.000, 0.500, 0.500], [0.500, 0.000, 0.500], [0.500, 0.500, 0.000]]}

=====

(3)
{"formula": "Sm4Y6Ho19", "functional": "PBE-GGA", "state": "relaxed", "space_group": "I23", "energy_ev_per_atom": -4.596, "formation_enthalpy_0k_ev_per_atom": 0.39, "dos_at_fermi_per_ev_cell": 43.71, "cell": [[-6.222, 6.222, 6.222], [6.222, -6.222, 6.222], [6.222, 6.222, -6.222]], "species": ["Sm", "Sm", "Sm", "Sm", "Y", "Y", "Y", "Y", "Y", "Y", "Ho", "Ho", "Ho", "Ho", "Ho", "Ho", "Ho", "Ho", "Ho", "Ho", "Ho", "Ho", "Ho", "Ho", "Ho", "Ho", "Ho", "Ho", "Ho"], "fractional_positions": [[0.000, 0.000, 0.640], [0.000, 0.640, 0.000], [0.360, 0.360, 0.360], [0.640, 0.000, 0.000], [0.129, 0.629, 0.500], [0.371, 0.500, 0.871], [0.500, 0.129, 0.629], [0.500, 0.871, 0.371], [0.629, 0.500, 0.129], [0.871, 0.371, 0.500], [0.000, 0.000, 0.000], [0.000, 0.260, 0.260], [0.000, 0.740, 0.740], [0.017, 0.803, 0.340], [0.197, 0.213, 0.536], [0.213, 0.536, 0.197], [0.260, 0.000, 0.260], [0.260, 0.260, 0.000], [0.323, 0.787, 0.983], [0.340, 0.017, 0.803], [0.464, 0.677, 0.660], [0.536, 0.197, 0.213], [0.660, 0.464, 0.677], [0.677, 0.660, 0.464], [0.740, 0.000, 0.740], [0.740, 0.740, 0.000], [0.787, 0.983, 0.323], [0.803, 0.340, 0.017], [0.983, 0.323, 0.787]]}